VASP calculation (PBE-GGA) on a geometry-optimized CsAlRh2O structure.

Results
SG: P4/mmm
Calculated volume, A^3/atom: 32.946
Electronic total energy, eV/atom: -2.661
Formation energy without anion corrections, meV per atom: 2191

Unit cell a=4.950 b=6.722 c=4.950 alpha=90.00 beta=90.00 gamma=90.00
Site moments in Bohr magnetons follow the coordinates.
Fractional coordinates of all 5 atoms:
1 Cs 0.000 0.000 0.000  0.00
2 Rh 0.000 0.000 0.500  0.32
3 Rh 0.500 0.000 0.000  0.34
4 Al 0.000 0.500 0.000  -0.01
5 O 0.500 0.500 0.500  0.92